Ni2SbTeH after structural relaxation, computed with PBE.

Properties
Uncorrected energy in eV/atom: -4.025
Size of the total moment in μB/cell: 0.00

Unit cell a=4.840 b=4.840 c=3.676 alpha=90.00 beta=90.00 gamma=90.00
Atoms (fractional coordinates):
1 Ni 0.000 0.500 0.000
2 Ni 0.500 0.000 0.000
3 Sb 0.000 0.000 0.000
4 Te 0.500 0.500 0.500
5 H 0.000 0.000 0.500

***

NiSbTe2H after structural relaxation, computed with PBE.

Properties
Energy above the lowest structure with this stoichiometry in eV/atom: 0.0035
Size of the total moment in μB/cell: 1.02

Unit cell a=5.179 b=5.179 c=4.896 alpha=90.00 beta=90.00 gamma=90.00
Atoms (fractional coordinates):
1 Ni 0.000 0.000 0.000
2 Sb 0.000 0.000 0.500
3 Te 0.000 0.500 0.000
4 Te 0.500 0.000 0.000
5 H 0.500 0.500 0.500

***

NiSbTe2H after structural relaxation, computed with PBE.

Properties
Energy above the lowest structure with this stoichiometry in eV/atom: 0.0000
Size of the total moment in μB/cell: 0.36

Unit cell a=5.149 b=5.149 c=3.851 alpha=90.00 beta=90.00 gamma=90.00
Atoms (fractional coordinates):
1 Ni 0.000 0.000 0.000
2 Sb 0.500 0.500 0.000
3 Te 0.000 0.500 0.500
4 Te 0.500 0.000 0.500
5 H 0.500 0.500 0.500

***

ThNiSbH after structural relaxation, computed with PBE.

Properties
Uncorrected energy in eV/atom: -5.952
Size of the total moment in μB/cell: 0.00

Unit cell a=4.319 b=4.319 c=4.348 alpha=90.00 beta=90.00 gamma=120.00
Atoms (fractional coordinates):
1 Th 0.000 0.000 0.000
2 Ni 0.333 0.667 0.376
3 Sb 0.667 0.333 0.520
4 H 0.333 0.667 0.011

***

Tl2NiSbH after structural relaxation, computed with PBE.

Properties
Uncorrected energy in eV/atom: -3.118
Size of the total moment in μB/cell: 0.00

Unit cell a=5.205 b=5.205 c=4.827 alpha=90.00 beta=90.00 gamma=90.00
Atoms (fractional coordinates):
1 Tl 0.000 0.500 0.000
2 Tl 0.500 0.000 0.000
3 Ni 0.000 0.000 0.000
4 Sb 0.000 0.000 0.500
5 H 0.500 0.500 0.500

***

Y2NiSbH after structural relaxation, computed with PBE.

Properties
Uncorrected energy in eV/atom: -5.774
Size of the total moment in μB/cell: 0.25

Unit cell a=4.978 b=4.978 c=3.793 alpha=90.00 beta=90.00 gamma=90.00
Atoms (fractional coordinates):
1 Y 0.000 0.500 0.000
2 Y 0.500 0.000 0.000
3 Ni 0.000 0.000 0.500
4 Sb 0.500 0.500 0.500
5 H 0.000 0.000 0.000

***

ZrNi2SbH after structural relaxation, computed with PBE.

Properties
Uncorrected energy in eV/atom: -5.812
Size of the total moment in μB/cell: 0.00

Unit cell a=4.026 b=4.026 c=4.146 alpha=90.00 beta=90.00 gamma=90.00
Atoms (fractional coordinates):
1 Zr 0.000 0.000 0.000
2 Ni 0.000 0.500 0.500
3 Ni 0.500 0.000 0.500
4 Sb 0.500 0.500 0.000
5 H 0.000 0.000 0.500

***

ScNiH3 after structural relaxation, computed with PBE.

Properties
Uncorrected energy in eV/atom: -4.832
Size of the total moment in μB/cell: 0.00

Unit cell a=5.417 b=4.123 c=7.967 alpha=90.00 beta=109.35 gamma=90.00
Atoms (fractional coordinates):
1 Sc 0.204 0.232 0.151
2 Sc 0.204 0.268 0.651
3 Sc 0.796 0.732 0.349
4 Sc 0.796 0.768 0.849
5 Ni 0.354 0.747 0.976
6 Ni 0.354 0.753 0.476
7 Ni 0.646 0.247 0.524
8 Ni 0.646 0.253 0.024
9 H 0.133 0.718 0.072
10 H 0.133 0.782 0.572
11 H 0.170 0.020 0.870
12 H 0.170 0.480 0.370
13 H 0.474 0.505 0.858
14 H 0.474 0.995 0.358
15 H 0.526 0.005 0.642
16 H 0.526 0.495 0.142
17 H 0.830 0.520 0.630
18 H 0.830 0.980 0.130
19 H 0.867 0.218 0.428
20 H 0.867 0.282 0.928